(1)
DFT (PBE) results for an optimized crystal structure of AcHgF4.

Calculated values
- Energy relative to the lowest polymorph listed for this composition: 0.000 eV/atom
- Total magnetization: 0.00 Bohr magnetons per cell
- Formation energy (no corrections): -3081 meV per atom
- Final energy: -121.5 eV/cell

Cell lengths 8.261, 11.752, 5.262 Å; angles 90.00, 121.95, 90.00 degrees
Space group C2/c (No. 15)
Symmetry-distinct sites (fractional):
Ac 0.000 0.138 0.250
Hg 0.000 0.449 0.750
F 0.162 0.304 0.622
F 0.163 0.047 0.744

***

(2)
DFT (PBE) results for an optimized crystal structure of AcHg2F11.

Calculated values
- Total magnetization: 7.41 Bohr magnetons per cell
- Formation energy (no corrections): -1793 meV per atom
- Final energy: -201.6 eV/cell

Cell lengths 8.895, 10.755, 11.438 Å; angles 90.00, 90.00, 90.00 degrees
Space group Ibam (No. 72)
Symmetry-distinct sites (fractional):
Ac 0.000 0.000 0.250
Hg 0.212 0.280 0.000
F 0.000 0.500 0.000
F 0.056 0.346 0.500
F 0.124 0.162 0.130
F 0.199 0.101 0.373

***

(3)
DFT (PBE) results for an optimized crystal structure of AcHgF2.

Calculated values
- Total magnetization: 0.00 Bohr magnetons per cell
- Formation energy (no corrections): -1952 meV per atom
- Final energy: -47.9 eV/cell

Cell lengths 4.5696, 4.5696, 27.3326 Å; angles 90.00, 90.00, 120.00 degrees
Space group R-3m (No. 166, hexagonal axes)
Symmetry-distinct sites (fractional):
Ac 0.0000 0.0000 0.0000
Hg 0.0000 0.0000 0.5000
F 0.0000 0.0000 0.0792

***

(4)
DFT (PBE) results for an optimized crystal structure of AcHgF6.

Calculated values
- Energy relative to the lowest polymorph listed for this composition: 0.007 eV/atom
- Total magnetization: 1.62 Bohr magnetons per cell
- Formation energy (no corrections): -2567 meV per atom
- Final energy: -72.3 eV/cell

Cell lengths 6.097, 7.272, 5.579 Å; angles 90.00, 95.68, 90.00 degrees
Space group C2/m (No. 12)
Symmetry-distinct sites (fractional):
Ac 0.000 0.000 0.000
Hg 0.000 0.500 0.500
F 0.154 0.319 0.815
F 0.183 0.000 0.601

***

(5)
DFT (PBE) results for an optimized crystal structure of Ac2HgF8.

Calculated values
- Total magnetization: 0.00 Bohr magnetons per cell
- Formation energy (no corrections): -3429 meV per atom
- Final energy: -122.4 eV/cell

Cell lengths 14.859, 4.222, 5.760 Å; angles 90.00, 112.36, 90.00 degrees
Space group C2/m (No. 12)
Symmetry-distinct sites (fractional):
Ac 0.165 0.000 0.164
Hg 0.000 0.500 0.500
F 0.018 0.000 0.766
F 0.094 0.500 0.279
F 0.169 0.500 0.890
F 0.218 0.000 0.625

***

(6)
DFT (PBE) results for an optimized crystal structure of K2AcHgF8.

Calculated values
- Total magnetization: 0.87 Bohr magnetons per cell
- Formation energy (no corrections): -2724 meV per atom
- Final energy: -54.3 eV/cell

Cell lengths 4.241, 6.217, 8.304 Å; angles 86.42, 89.26, 86.08 degrees
Space group P-1 (No. 2)
Symmetry-distinct sites (fractional):
K 0.000 0.002 0.258
Ac 0.500 0.500 0.000
Hg 0.500 0.500 0.500
F 0.006 0.278 0.979
F 0.088 0.705 0.514
F 0.454 0.305 0.724
F 0.469 0.259 0.239

***

(7)
DFT (PBE) results for an optimized crystal structure of KAcHg2F8.

Calculated values
- Total magnetization: 0.00 Bohr magnetons per cell
- Formation energy (no corrections): -2570 meV per atom
- Final energy: -103.2 eV/cell

Cell lengths 5.867, 5.867, 11.639 Å; angles 90.00, 90.00, 90.00 degrees
Space group I-4m2 (No. 119)
Symmetry-distinct sites (fractional):
K 0.000 0.000 0.000
Ac 0.000 0.500 0.250
Hg 0.000 0.000 0.500
Hg 0.000 0.500 0.750
F 0.234 0.239 0.630

***

(8)
DFT (PBE) results for an optimized crystal structure of LiAcHg2F8.

Calculated values
- Total magnetization: 0.00 Bohr magnetons per cell
- Formation energy (no corrections): -2549 meV per atom
- Final energy: -52.2 eV/cell

Cell lengths 4.168, 5.640, 8.098 Å; angles 93.38, 91.15, 91.46 degrees
Space group P-1 (No. 2)
Symmetry-distinct sites (fractional):
Li 0.000 0.000 0.000
Ac 0.000 0.000 0.500
Hg 0.456 0.453 0.213
F 0.042 0.147 0.215
F 0.044 0.360 0.696
F 0.435 0.754 0.039
F 0.486 0.764 0.545

***

- Among the records above, which one has the lowest final energy?
  AcHg2F11